Density functional theory data (PBE) for Ba2NiPW after structural relaxation.

a b c (Å): 5.9740 5.9740 4.4661
angles (deg): 90.00 90.00 90.00
With the nearest neighbours (Å) after each atom.
Space group P4/mmm (No. 123)
One atom of each set of equivalent atoms:
Ba1 0.0000 0.5000 0.0000 (multiplicity 2)  2 W 2.99
Ni1 0.0000 0.0000 0.5000 (multiplicity 1)  2 W 2.23
P1 0.5000 0.5000 0.5000 (multiplicity 1)  8 Ba 3.73
W1 0.0000 0.0000 0.0000 (multiplicity 1)  2 Ni 2.23

## Properties
**N(E_F)**: 6.98 states/eV/cell
**Total energy**: -4.649 eV per atom
**Crystal system**: tetragonal
**Formation energy**: 0.9495 eV per atom
**Total magnetic moment**: 1.006 μB per cell



Density functional theory data (PBE) for Rb2Na2NpSe4 after structural relaxation.

a b c (Å): 16.5258 4.4607 8.3265
angles (deg): 90.00 112.30 90.00
With the nearest neighbours (Å) after each atom.
Space group C2/m (No. 12)
One atom of each set of equivalent atoms:
Rb1 0.1392 0.0000 0.0516 (multiplicity 4)  5 Se 3.48-3.65
Na1 0.1784 0.5000 0.4727 (multiplicity 4)  4 Se 2.77-2.94
Np1 0.0000 0.0000 0.5000 (multiplicity 2)  6 Se 2.88-2.92
Se1 0.0003 0.5000 0.2741 (multiplicity 4)  1 Na 2.77, 2 Np 2.92
Se2 0.1874 0.0000 0.6798 (multiplicity 4)  3 Na 2.79-2.94, 1 Np 2.88

## Properties
**N(E_F)**: 18.93 states/eV/cell
**Total energy**: -4.604 eV per atom
**Crystal system**: monoclinic
**Total magnetic moment**: 6.000 μB per cell



Density functional theory data (PBE) for GdYPu after structural relaxation.

a b c (Å): 3.5253 3.5253 14.7372
angles (deg): 90.00 90.00 90.00
With the nearest neighbours (Å) after each atom.
Space group I4mm (No. 107)
One atom of each set of equivalent atoms:
Gd1 0.0000 0.0000 0.0000 (multiplicity 2)  4 Pu 3.46, 4 Gd 3.53, 4 Y 3.56
Y1 0.0000 0.0000 0.6723 (multiplicity 2)  4 Pu 3.48, 4 Y 3.53, 4 Gd 3.56
Pu1 0.0000 0.0000 0.3374 (multiplicity 2)  4 Gd 3.46, 4 Y 3.48, 4 Pu 3.53

## Properties
**N(E_F)**: 15.98 states/eV/cell
**Total energy**: -11.516 eV per atom
**Crystal system**: tetragonal
**Formation energy**: 0.1092 eV per atom
**Total magnetic moment**: 2.245 μB per cell



Density functional theory data (PBE) for Ba3ReSi after structural relaxation.

a b c (Å): 5.8203 5.8203 5.8203
angles (deg): 90.00 90.00 90.00
With the nearest neighbours (Å) after each atom.
Space group Pm-3m (No. 221)
One atom of each set of equivalent atoms:
Ba1 0.0000 0.0000 0.5000 (multiplicity 3)  2 Re 2.91
Re1 0.0000 0.0000 0.0000 (multiplicity 1)  6 Ba 2.91
Si1 0.5000 0.5000 0.5000 (multiplicity 1)  12 Ba 4.12

## Properties
**N(E_F)**: 4.91 states/eV/cell
**Total energy**: -3.890 eV per atom
**Crystal system**: cubic
**Total magnetic moment**: 1.467 μB per cell



Density functional theory data (PBE) for CdS2IN after structural relaxation.

a b c (Å): 5.2436 5.2436 3.9447
angles (deg): 90.00 90.00 90.00
With the nearest neighbours (Å) after each atom.
Space group P4/mmm (No. 123)
One atom of each set of equivalent atoms:
Cd1 0.0000 0.0000 0.0000 (multiplicity 1)  8 S 3.28
S1 0.0000 0.5000 0.5000 (multiplicity 2)  2 I 2.62
I1 0.5000 0.5000 0.5000 (multiplicity 1)  2 N 1.97
N1 0.5000 0.5000 0.0000 (multiplicity 1)  2 I 1.97

## Properties
**N(E_F)**: 2.44 states/eV/cell
**Total energy**: -2.693 eV per atom
**Crystal system**: tetragonal
**Total magnetic moment**: 0.000 μB per cell



Density functional theory data (PBE) for FeMoCl2 after structural relaxation.

a b c (Å): 2.9001 5.6334 8.2070
angles (deg): 90.00 90.00 90.00
With the nearest neighbours (Å) after each atom.
Space group Cmmm (No. 65)
One atom of each set of equivalent atoms:
Fe1 0.0000 0.0000 0.0000 (multiplicity 2)  4 Cl 2.52
Mo1 0.0000 0.0000 0.5000 (multiplicity 2)  4 Cl 2.51
Cl1 0.0000 0.5000 0.2506 (multiplicity 4)  2 Mo 2.51, 2 Fe 2.52

## Properties
**N(E_F)**: 6.61 states/eV/cell
**Total energy**: -5.299 eV per atom
**Crystal system**: orthorhombic
**Total magnetic moment**: 8.185 μB per cell



Density functional theory data (PBE) for Ba2LiTmCu3O7 after structural relaxation.

a b c (Å): 3.7607 4.0213 12.5847
angles (deg): 90.00 90.00 90.00
With the nearest neighbours (Å) after each atom.
Space group Pmm2 (No. 25)
One atom of each set of equivalent atoms:
Ba1 0.0000 0.0000 0.0000 (multiplicity 1)  8 O 2.76-3.02
Ba2 0.0000 0.0000 0.4208 (multiplicity 1)  8 O 2.75-3.02, 2 Li 2.80
Li1 0.0000 0.5000 0.2659 (multiplicity 1)  2 O 2.01
Tm1 0.0000 0.0000 0.7058 (multiplicity 1)  6 O 2.30-2.41
Cu1 0.5000 0.5000 0.1622 (multiplicity 1)  4 O 1.86-2.02
Cu2 0.5000 0.5000 0.5844 (multiplicity 1)  4 O 1.89-2.01
Cu3 0.5000 0.5000 0.8283 (multiplicity 1)  4 O 1.93-2.02
O1 0.0000 0.5000 0.5696 (multiplicity 1)  2 Cu 1.89
O2 0.0000 0.5000 0.7953 (multiplicity 1)  2 Cu 1.93
O3 0.5000 0.0000 0.1693 (multiplicity 1)  2 Cu 2.01
O4 0.5000 0.0000 0.5862 (multiplicity 1)  2 Cu 2.01
O5 0.5000 0.0000 0.8122 (multiplicity 1)  2 Cu 2.02
O6 0.5000 0.5000 0.0143 (multiplicity 1)  1 Cu 1.86
O7 0.5000 0.5000 0.3225 (multiplicity 1)  2 Li 2.01, 1 Cu 2.02

## Properties
**N(E_F)**: 3.88 states/eV/cell
**Total energy**: -5.786 eV per atom
**Crystal system**: orthorhombic
**Total magnetic moment**: 0.000 μB per cell



Density functional theory data (PBE) for Ce8BiRu2 after structural relaxation.

a b c (Å): 8.4627 13.3854 5.2820
angles (deg): 90.00 101.93 90.00
With the nearest neighbours (Å) after each atom.
Space group C2/m (No. 12)
One atom of each set of equivalent atoms:
Ce1 0.0000 0.2451 0.0000 (multiplicity 4)  2 Ru 2.68
Ce2 0.0795 0.0000 0.8025 (multiplicity 4)  1 Ce 2.71
Ce3 0.2049 0.3912 0.5568 (multiplicity 8)  2 Ce 2.91-3.24, 2 Ru 2.92-2.93
Bi1 0.0000 0.5000 0.0000 (multiplicity 2)  12 Ce 3.41-3.51
Ru1 0.0000 0.2132 0.5000 (multiplicity 4)  6 Ce 2.68-2.93

## Properties
**N(E_F)**: 59.05 states/eV/cell
**Total energy**: -6.585 eV per atom
**Crystal system**: monoclinic
**Formation energy**: -0.2302 eV per atom
**Total magnetic moment**: 7.040 μB per cell